# TmZn4Cu2

Crystalline TmZn4Cu2 at its relaxed geometry (GGA-PBE, Alexandria).

Lattice parameters (Å, degrees): 4.9826 5.2820 5.2820 77.59 61.78 61.78
Atoms (fractional coordinates):
Zn  0.3056  0.3874  0.0017
Cu  0.2517  0.4992  0.4992
Zn  0.6944  0.6126  0.9983
Tm  0.0000  0.0000  0.0000
Zn  0.6944  0.9983  0.6127
Zn  0.3056  0.0017  0.3873
Cu  0.7483  0.5008  0.5008

Computed properties:
Energy above the most stable polymorph in this dataset ... 0 meV per atom
Symmetry ... C2/m
Raw total energy ... -2.76 eV/atom
Formation enthalpy at 0 K ... -228 meV/atom
Fermi-level density of states ... 1.79 states/eV/f.u.
Magnetization ... 0.00 μB per formula unit

***

# AlTlTc2

Crystalline AlTlTc2 at its relaxed geometry (GGA-PBE, Alexandria).

Lattice parameters (Å, degrees): 9.3314 9.3314 9.3314 18.16 18.16 18.16
Atoms (fractional coordinates):
Tc  0.9987  0.9987  0.9987
Al  0.7406  0.7406  0.7406
Tc  0.2595  0.2595  0.2595
Tl  0.5013  0.5013  0.5013

Computed properties:
Energy above the most stable polymorph in this dataset ... 106 meV per atom
Symmetry ... R3m
Raw total energy ... -6.48 eV/atom
Formation enthalpy at 0 K ... 234 meV/atom
Fermi-level density of states ... 2.73 states/eV/f.u.
Magnetization ... 0.00 μB per formula unit

***

# TbErTh2

Crystalline TbErTh2 at its relaxed geometry (GGA-PBE, Alexandria).

Lattice parameters (Å, degrees): 13.6709 13.6709 3.5456 83.59 83.59 150.89
Atoms (fractional coordinates):
Er  0.3443  0.6557  0.7500
Tb  0.0000  0.5000  0.5000
Th  0.7000  0.8107  0.2107
Th  0.8107  0.7000  0.7107
Th  0.1893  0.3000  0.2893
Th  0.3000  0.1893  0.7893
Er  0.6557  0.3443  0.2500
Tb  0.5000  0.0000  0.0000

Computed properties:
Energy above the most stable polymorph in this dataset ... 499 meV per atom
Symmetry ... C2/c
Raw total energy ... -5.48 eV/atom
Formation enthalpy at 0 K ... 531 meV/atom
Fermi-level density of states ... 8.34 states/eV/f.u.
Magnetization ... 0.00 μB per formula unit

***

# LaEr2Ti

Crystalline LaEr2Ti at its relaxed geometry (GGA-PBE, Alexandria).

Lattice parameters (Å, degrees): 3.3808 3.3808 9.9552 90.00 90.00 90.00
Atoms (fractional coordinates):
La  0.5000  0.5000  0.5000
Ti  0.5000  0.5000  0.0000
Er  0.0000  0.0000  0.7934
Er  0.0000  0.0000  0.2066

Computed properties:
Energy above the most stable polymorph in this dataset ... 0 meV per atom
Symmetry ... P4/mmm
Raw total energy ... -5.34 eV/atom
Formation enthalpy at 0 K ... 149 meV/atom
Fermi-level density of states ... 5.35 states/eV/f.u.
Magnetization ... 0.00 μB per formula unit

***

# PPt2W

Crystalline PPt2W at its relaxed geometry (GGA-PBE, Alexandria).

Lattice parameters (Å, degrees): 4.9166 4.9166 2.8009 90.00 90.00 115.35
Atoms (fractional coordinates):
Pt  0.0000  0.5000  0.0000
W  0.0000  0.0000  0.5000
Pt  0.5000  0.0000  0.0000
P  0.5000  0.5000  0.5000

Computed properties:
Symmetry ... Cmmm
Raw total energy ... -7.55 eV/atom
Formation enthalpy at 0 K ... 60 meV/atom
Fermi-level density of states ... 2.41 states/eV/f.u.
Magnetization ... 0.00 μB per formula unit

***

# Tb2PrFe9

Crystalline Tb2PrFe9 at its relaxed geometry (GGA-PBE, Alexandria).

Lattice parameters (Å, degrees): 5.1549 5.1549 8.6603 72.69 72.69 60.00
Atoms (fractional coordinates):
Fe  0.9161  0.4186  0.2467
Fe  0.0839  0.5814  0.7533
Fe  0.3327  0.3327  0.0019
Fe  0.5814  0.5814  0.7533
Fe  0.5000  0.5000  0.5000
Tb  0.1422  0.1422  0.5734
Tb  0.8578  0.8578  0.4266
Fe  0.6673  0.6673  0.9981
Fe  0.5814  0.0839  0.7533
Fe  0.4186  0.4186  0.2467
Fe  0.4186  0.9161  0.2467
Pr  0.0000  0.0000  0.0000

Computed properties:
Symmetry ... R-3m
Raw total energy ... -7.53 eV/atom
Formation enthalpy at 0 K ... -10 meV/atom
Fermi-level density of states ... 15.85 states/eV/f.u.
Magnetization ... 17.81 μB per formula unit

***

# Pr2NdDy2Er

Crystalline Pr2NdDy2Er at its relaxed geometry (GGA-PBE, Alexandria).

Lattice parameters (Å, degrees): 5.7093 7.0890 9.8902 90.00 90.00 90.00
Atoms (fractional coordinates):
Pr  0.0000  0.2576  0.1777
Er  0.0000  0.0075  0.4999
Nd  0.5000  0.7576  0.3429
Pr  0.0000  0.7576  0.8223
Dy  0.5000  0.7576  0.6689
Dy  0.5000  0.2576  0.3311
Dy  0.0000  0.7576  0.1642
Er  0.0000  0.5075  0.5001
Pr  0.5000  0.0076  0.0000
Dy  0.0000  0.2576  0.8358
Nd  0.5000  0.2576  0.6571
Pr  0.5000  0.5076  0.0000

Computed properties:
Symmetry ... Pmma
Raw total energy ... -4.62 eV/atom
Formation enthalpy at 0 K ... 62 meV/atom
Fermi-level density of states ... 9.21 states/eV/f.u.
Magnetization ... 0.00 μB per formula unit

***

# DyZn3Au9

Crystalline DyZn3Au9 at its relaxed geometry (GGA-PBE, Alexandria).

Lattice parameters (Å, degrees): 5.3790 7.0163 7.1908 83.04 68.04 71.09
Atoms (fractional coordinates):
Au  0.3164  0.6712  0.6489
Zn  0.5000  0.5000  0.0000
Au  0.5266  0.2113  0.7849
Au  0.6836  0.3288  0.3511
Au  0.6885  0.7887  0.7849
Zn  0.5000  0.0000  0.5000
Au  0.9654  0.6712  0.3511
Zn  0.0000  0.0000  0.5000
Au  0.4734  0.7887  0.2151
Au  0.0346  0.3288  0.6489
Dy  0.0000  0.0000  0.0000
Au  0.3115  0.2113  0.2151
Au  0.0000  0.5000  0.0000

Computed properties:
Symmetry ... C2/m
Raw total energy ... -3.23 eV/atom
Formation enthalpy at 0 K ... -311 meV/atom
Fermi-level density of states ... 4.47 states/eV/f.u.
Magnetization ... 0.00 μB per formula unit